Here is an optimized crystal structure of PmMn2GeC from Alexandria. Energies are from GGA-PBE.

Cell: 5.7253 5.7253 7.2046 Å, 90.00 90.00 140.68°
Fractional positions:
Pm1 0.0437 0.9563 0.7500
Pm2 0.9563 0.0437 0.2500
Mn1 0.3345 0.6655 0.5621
Mn2 0.3345 0.6655 0.9379
Mn3 0.6655 0.3345 0.0621
Mn4 0.6655 0.3345 0.4379
Ge1 0.2354 0.7646 0.2500
Ge2 0.7646 0.2354 0.7500
C1 0.5000 0.5000 0.0000
C2 0.5000 0.5000 0.5000

Computed properties:
E_form: -0.36 eV/atom
Energy: -77.43 eV per cell
Crystal system: orthorhombic

---

Here is an optimized crystal structure of Pm2Pr7Nd from Alexandria. Energies are from GGA-PBE.

Cell: 9.4463 9.4463 5.6836 Å, 90.00 90.00 123.30°
Fractional positions:
Pm1 0.2033 0.7967 0.0000
Pm2 0.7967 0.2033 0.0000
Pr1 0.0000 0.0000 0.0000
Pr2 0.2049 0.4331 0.0000
Pr3 0.2727 0.7273 0.5000
Pr4 0.4331 0.2049 0.0000
Pr5 0.5669 0.7951 0.0000
Pr6 0.7273 0.2727 0.5000
Pr7 0.7951 0.5669 0.0000
Nd1 0.5000 0.5000 0.5000

Computed properties:
E_form: 0.61 eV/atom
Energy: -41.67 eV per cell
Crystal system: orthorhombic
ΔE to the lowest computed polymorph: 254 meV per atom

---

Here is an optimized crystal structure of BaSr2Hg2Bi2 from Alexandria. Energies are from GGA-PBE.

Cell: 10.3956 10.3956 10.3956 Å, 30.83 30.83 30.83°
Fractional positions:
Ba1 0.0000 0.0000 0.0000
Sr1 0.1313 0.1313 0.1313
Sr2 0.8687 0.8687 0.8687
Hg1 0.4421 0.4421 0.4421
Hg2 0.5579 0.5579 0.5579
Bi1 0.2572 0.2572 0.2572
Bi2 0.7428 0.7428 0.7428

Computed properties:
E_form: -0.56 eV/atom
Energy: -17.56 eV per cell
Crystal system: trigonal

---

Here is an optimized crystal structure of AlTlTe2 from Alexandria. Energies are from GGA-PBE.

Cell: 4.1110 4.1110 9.1093 Å, 90.00 90.00 120.00°
Fractional positions:
Al1 0.0000 0.0000 0.0000
Tl1 0.3333 0.6667 0.4351
Te1 0.3333 0.6667 0.8435
Te2 0.6667 0.3333 0.1864

Computed properties:
Energy: -13.65 eV per cell
Energy relative to the elements, uncorrected: -1.260 eV per formula unit
Crystal system: trigonal

---

Here is an optimized crystal structure of Be2CrPt from Alexandria. Energies are from GGA-PBE.

Cell: 2.6167 2.6167 23.9042 Å, 90.00 90.00 120.00°
Fractional positions:
Be1 0.0000 0.0000 0.0000
Be2 0.0000 0.0000 0.2551
Be3 0.3333 0.6667 0.6667
Be4 0.3333 0.6667 0.9217
Be5 0.6667 0.3333 0.3333
Be6 0.6667 0.3333 0.5884
Cr1 0.0000 0.0000 0.5083
Cr2 0.3333 0.6667 0.1750
Cr3 0.6667 0.3333 0.8416
Pt1 0.0000 0.0000 0.7481
Pt2 0.3333 0.6667 0.4148
Pt3 0.6667 0.3333 0.0814

Computed properties:
E_form: 0.15 eV/atom
Energy: -67.60 eV per cell
Crystal system: trigonal

---

Here is an optimized crystal structure of Ce2NdHo from Alexandria. Energies are from GGA-PBE.

Cell: 3.3832 3.3832 37.1576 Å, 90.00 90.00 120.00°
Fractional positions:
Ce1 0.0000 0.0000 0.0845
Ce2 0.0000 0.0000 0.9155
Ce3 0.3333 0.6667 0.5822
Ce4 0.3333 0.6667 0.7511
Ce5 0.6667 0.3333 0.2489
Ce6 0.6667 0.3333 0.4178
Nd1 0.0000 0.0000 0.5000
Nd2 0.3333 0.6667 0.1667
Nd3 0.6667 0.3333 0.8333
Ho1 0.0000 0.0000 0.0000
Ho2 0.3333 0.6667 0.6667
Ho3 0.6667 0.3333 0.3333

Computed properties:
E_form: 0.25 eV/atom
Energy: -60.68 eV per cell
Crystal system: trigonal
ΔE to the lowest computed polymorph: 139 meV per atom

---

Here is an optimized crystal structure of Er2PuThAs4 from Alexandria. Energies are from GGA-PBE.

Cell: 7.1667 4.1573 7.1831 Å, 90.00 109.62 90.00°
Fractional positions:
Er1 0.0000 0.0000 0.0000
Er2 0.0000 0.5000 0.5000
Pu1 0.5000 0.0000 0.5000
Th1 0.5000 0.5000 0.0000
As1 0.2414 0.0000 0.7450
As2 0.2449 0.5000 0.2513
As3 0.7551 0.5000 0.7487
As4 0.7586 0.0000 0.2550

Computed properties:
E_form: -1.38 eV/atom
Energy: -60.48 eV per cell
Crystal system: monoclinic

---

Here is an optimized crystal structure of TlCd2F6 from Alexandria. Energies are from GGA-PBE.

Cell: 5.3055 5.3055 10.9346 Å, 90.00 90.00 90.00°
Fractional positions:
Tl1 0.0000 0.0000 0.0000
Tl2 0.5000 0.5000 0.5000
Cd1 0.0000 0.0000 0.3327
Cd2 0.0000 0.0000 0.6673
Cd3 0.5000 0.5000 0.1673
Cd4 0.5000 0.5000 0.8327
F1 0.1843 0.1843 0.5000
F2 0.1982 0.1982 0.1736
F3 0.1982 0.1982 0.8264
F4 0.3018 0.6982 0.3264
F5 0.3018 0.6982 0.6736
F6 0.3157 0.6843 0.0000
F7 0.6843 0.3157 0.0000
F8 0.6982 0.3018 0.3264
F9 0.6982 0.3018 0.6736
F10 0.8018 0.8018 0.1736
F11 0.8018 0.8018 0.8264
F12 0.8157 0.8157 0.5000

Computed properties:
Energy: -67.24 eV per cell
Energy relative to the elements, uncorrected: -18.195 eV per formula unit
Crystal system: tetragonal

---

Here is an optimized crystal structure of SiPOF2 from Alexandria. Energies are from GGA-PBE.

Cell: 4.3000 4.3000 3.2958 Å, 90.00 90.00 90.00°
Fractional positions:
Si1 0.0000 0.0000 0.0000
P1 0.5000 0.5000 0.5000
O1 0.0000 0.0000 0.5000
F1 0.0000 0.5000 0.0000
F2 0.5000 0.0000 0.0000

Computed properties:
Energy: -23.82 eV per cell
Energy relative to the elements, uncorrected: -4.283 eV per formula unit
Crystal system: tetragonal
ΔE to the lowest computed polymorph: 0 meV per atom

---

Here is an optimized crystal structure of CaFeMoP2 from Alexandria. Energies are from GGA-PBE.

Cell: 3.9659 3.9659 10.5568 Å, 90.00 90.00 90.00°
Fractional positions:
Ca1 0.0000 0.0000 0.0000
Ca2 0.5000 0.5000 0.5000
Fe1 0.0000 0.5000 0.2500
Fe2 0.5000 0.0000 0.7500
Mo1 0.0000 0.5000 0.7500
Mo2 0.5000 0.0000 0.2500
P1 0.0000 0.0000 0.3704
P2 0.0000 0.0000 0.6296
P3 0.5000 0.5000 0.1296
P4 0.5000 0.5000 0.8704

Computed properties:
E_form: -0.66 eV/atom
Energy: -70.81 eV per cell
Crystal system: tetragonal

---

Here is an optimized crystal structure of K2NdPu3O12 from Alexandria. Energies are from GGA-PBE.

Cell: 7.0683 7.0683 7.0683 Å, 70.34 70.34 70.34°
Fractional positions:
K1 0.1119 0.1119 0.1119
K2 0.8881 0.8881 0.8881
Nd1 0.5000 0.5000 0.5000
Pu1 0.0000 0.5000 0.5000
Pu2 0.5000 0.0000 0.5000
Pu3 0.5000 0.5000 0.0000
O1 0.0756 0.6370 0.6370
O2 0.2477 0.2477 0.5980
O3 0.2477 0.5980 0.2477
O4 0.3630 0.3630 0.9244
O5 0.3630 0.9244 0.3630
O6 0.4020 0.7523 0.7523
O7 0.5980 0.2477 0.2477
O8 0.6370 0.0756 0.6370
O9 0.6370 0.6370 0.0756
O10 0.7523 0.4020 0.7523
O11 0.7523 0.7523 0.4020
O12 0.9244 0.3630 0.3630

Computed properties:
Energy: -154.58 eV per cell
Energy relative to the elements, uncorrected: -45.127 eV per formula unit
Crystal system: trigonal

---

Here is an optimized crystal structure of DyAlIn from Alexandria. Energies are from GGA-PBE.

Cell: 10.1799 10.1799 10.1799 Å, 24.37 24.37 24.37°
Fractional positions:
Dy1 0.0681 0.0681 0.0681
Dy2 0.9319 0.9319 0.9319
Al1 0.3353 0.3353 0.3353
Al2 0.6647 0.6647 0.6647
In1 0.1941 0.1941 0.1941
In2 0.8059 0.8059 0.8059

Computed properties:
E_form: -0.27 eV/atom
Energy: -23.79 eV per cell
Crystal system: trigonal

---

Here is an optimized crystal structure of Zn2SiAg from Alexandria. Energies are from GGA-PBE.

Cell: 5.5746 8.0915 2.8205 Å, 90.00 91.11 90.00°
Fractional positions:
Zn1 0.2500 0.2500 0.0000
Zn2 0.2500 0.7500 0.0000
Zn3 0.7500 0.2500 0.0000
Zn4 0.7500 0.7500 0.0000
Si1 0.0000 0.0000 0.5000
Si2 0.5000 0.5000 0.5000
Ag1 0.0000 0.5000 0.5000
Ag2 0.5000 0.0000 0.5000

Computed properties:
Energy: -20.36 eV per cell
Energy relative to the elements, uncorrected: 0.642 eV per formula unit
Crystal system: monoclinic

---

Here is an optimized crystal structure of KAu3C from Alexandria. Energies are from GGA-PBE.

Cell: 4.5466 4.5466 4.5466 Å, 90.00 90.00 90.00°
Fractional positions:
K1 0.0000 0.0000 0.0000
Au1 0.0000 0.5000 0.5000
Au2 0.5000 0.0000 0.5000
Au3 0.5000 0.5000 0.0000
C1 0.5000 0.5000 0.5000

Computed properties:
E_form: 0.46 eV/atom
Energy: -17.84 eV per cell
Crystal system: cubic
ΔE to the lowest computed polymorph: 0 meV per atom

---

Here is an optimized crystal structure of PmTlZn from Alexandria. Energies are from GGA-PBE.

Cell: 3.5724 3.5724 11.7249 Å, 90.00 90.00 90.00°
Fractional positions:
Pm1 0.0000 0.0000 0.0000
Pm2 0.5000 0.5000 0.5000
Tl1 0.0000 0.0000 0.6973
Tl2 0.5000 0.5000 0.1973
Zn1 0.0000 0.0000 0.3396
Zn2 0.5000 0.5000 0.8396

Computed properties:
E_form: -0.19 eV/atom
Energy: -17.92 eV per cell
Crystal system: tetragonal
ΔE to the lowest computed polymorph: 149 meV per atom

---

Here is an optimized crystal structure of SrPr3Nd4Te8 from Alexandria. Energies are from GGA-PBE.

Cell: 9.0672 9.0672 9.0672 Å, 60.07 60.07 60.07°
Fractional positions:
Sr1 0.0000 0.0000 0.0000
Pr1 0.0000 0.5000 0.5000
Pr2 0.5000 0.0000 0.5000
Pr3 0.5000 0.5000 0.0000
Nd1 0.0000 0.0000 0.5000
Nd2 0.0000 0.5000 0.0000
Nd3 0.5000 0.0000 0.0000
Nd4 0.5000 0.5000 0.5000
Te1 0.2492 0.2492 0.2492
Te2 0.2503 0.7480 0.7480
Te3 0.2520 0.2520 0.7497
Te4 0.2520 0.7497 0.2520
Te5 0.7480 0.2503 0.7480
Te6 0.7480 0.7480 0.2503
Te7 0.7497 0.2520 0.2520
Te8 0.7508 0.7508 0.7508

Computed properties:
Energy: -83.49 eV per cell
Energy relative to the elements, uncorrected: -23.264 eV per formula unit
Crystal system: trigonal

---

Here is an optimized crystal structure of Dy2Ho3Ru4 from Alexandria. Energies are from GGA-PBE.

Cell: 4.8518 4.8518 9.2087 Å, 90.00 90.00 120.00°
Fractional positions:
Dy1 0.3333 0.6667 0.2052
Dy2 0.6667 0.3333 0.7948
Ho1 0.0000 0.0000 0.0000
Ho2 0.3333 0.6667 0.5907
Ho3 0.6667 0.3333 0.4093
Ru1 0.0000 0.0000 0.3575
Ru2 0.0000 0.0000 0.6425
Ru3 0.3333 0.6667 0.8940
Ru4 0.6667 0.3333 0.1060

Computed properties:
E_form: -0.34 eV/atom
Energy: -63.13 eV per cell
Crystal system: trigonal

---

Here is an optimized crystal structure of LiCuAsPd from Alexandria. Energies are from GGA-PBE.

Cell: 6.0797 6.0797 6.0797 Å, 90.00 90.00 90.00°
Fractional positions:
Li1 0.0000 0.0000 0.0000
Li2 0.0000 0.5000 0.5000
Li3 0.5000 0.0000 0.5000
Li4 0.5000 0.5000 0.0000
Cu1 0.2500 0.2500 0.2500
Cu2 0.2500 0.7500 0.7500
Cu3 0.7500 0.2500 0.7500
Cu4 0.7500 0.7500 0.2500
As1 0.0000 0.0000 0.5000
As2 0.0000 0.5000 0.0000
As3 0.5000 0.0000 0.0000
As4 0.5000 0.5000 0.5000
Pd1 0.2500 0.2500 0.7500
Pd2 0.2500 0.7500 0.2500
Pd3 0.7500 0.2500 0.2500
Pd4 0.7500 0.7500 0.7500

Computed properties:
E_form: -0.36 eV/atom
Energy: -69.17 eV per cell
Crystal system: cubic

---

Here is an optimized crystal structure of ZnNiRhI2 from Alexandria. Energies are from GGA-PBE.

Cell: 5.3951 5.3951 4.7210 Å, 90.00 90.00 90.00°
Fractional positions:
Zn1 0.0000 0.0000 0.0000
Ni1 0.5000 0.5000 0.0000
Rh1 0.0000 0.0000 0.5000
I1 0.0000 0.5000 0.5000
I2 0.5000 0.0000 0.5000

Computed properties:
Energy: -14.00 eV per cell
Energy relative to the elements, uncorrected: 3.505 eV per formula unit
Crystal system: tetragonal

---

Here is an optimized crystal structure of Ag2Br3 from Alexandria. Energies are from GGA-PBE.

Cell: 6.9139 6.9139 7.5571 Å, 105.76 105.76 113.27°
Fractional positions:
Ag1 0.0000 0.0000 0.0000
Ag2 0.3409 0.6629 0.9967
Ag3 0.4971 0.4971 0.5015
Ag4 0.6629 0.3409 0.9967
Br1 0.0865 0.4173 0.2369
Br2 0.2582 0.2582 0.7362
Br3 0.4173 0.0865 0.2369
Br4 0.5890 0.9196 0.7558
Br5 0.7483 0.7483 0.2531
Br6 0.9196 0.5890 0.7558

Computed properties:
Energy: -24.09 eV per cell
Energy relative to the elements, uncorrected: -1.326 eV per formula unit
Crystal system: monoclinic
ΔE to the lowest computed polymorph: 0 meV per atom

---

Here is an optimized crystal structure of Na6Be8O11 from Alexandria. Energies are from GGA-PBE.

Cell: 5.3423 6.4303 8.3653 Å, 101.84 95.81 105.10°
Fractional positions:
Na1 0.0378 0.2622 0.0529
Na2 0.2227 0.3875 0.5029
Na3 0.2398 0.7861 0.3170
Na4 0.7602 0.2139 0.6830
Na5 0.7773 0.6125 0.4971
Na6 0.9622 0.7378 0.9471
Be1 0.1830 0.9818 0.6458
Be2 0.4539 0.4349 0.8633
Be3 0.4851 0.1412 0.9511
Be4 0.4886 0.7507 0.7495
Be5 0.5114 0.2493 0.2505
Be6 0.5149 0.8588 0.0489
Be7 0.5461 0.5651 0.1367
Be8 0.8170 0.0182 0.3542
O1 0.0000 0.0000 0.5000
O2 0.2687 0.7673 0.6206
O3 0.2783 0.1717 0.8049
O4 0.3283 0.6025 0.9838
O5 0.3578 0.0416 0.1055
O6 0.4134 0.4607 0.2764
O7 0.5866 0.5393 0.7236
O8 0.6422 0.9584 0.8945
O9 0.6717 0.3975 0.0162
O10 0.7217 0.8283 0.1951
O11 0.7313 0.2327 0.3794

Computed properties:
Energy: -148.50 eV per cell
Energy relative to the elements, uncorrected: -56.240 eV per formula unit
Crystal system: triclinic

---

Here is an optimized crystal structure of LiPmNdHg from Alexandria. Energies are from GGA-PBE.

Cell: 7.5988 7.5988 7.5988 Å, 90.00 90.00 90.00°
Fractional positions:
Li1 0.0000 0.0000 0.0000
Li2 0.0000 0.5000 0.5000
Li3 0.5000 0.0000 0.5000
Li4 0.5000 0.5000 0.0000
Pm1 0.2500 0.2500 0.2500
Pm2 0.2500 0.7500 0.7500
Pm3 0.7500 0.2500 0.7500
Pm4 0.7500 0.7500 0.2500
Nd1 0.2500 0.2500 0.7500
Nd2 0.2500 0.7500 0.2500
Nd3 0.7500 0.2500 0.2500
Nd4 0.7500 0.7500 0.7500
Hg1 0.0000 0.0000 0.5000
Hg2 0.0000 0.5000 0.0000
Hg3 0.5000 0.0000 0.0000
Hg4 0.5000 0.5000 0.5000

Computed properties:
E_form: -0.21 eV/atom
Energy: -50.24 eV per cell
Crystal system: cubic

---

Here is an optimized crystal structure of AcTlCoH6 from Alexandria. Energies are from GGA-PBE.

Cell: 4.5708 5.0172 5.0595 Å, 60.29 89.05 89.78°
Fractional positions:
Ac1 0.0000 0.0000 0.0000
Tl1 0.5579 0.3323 0.3351
Co1 0.2911 0.6699 0.6575
H1 0.0847 0.5214 0.5183
H2 0.0849 0.9587 0.5187
H3 0.0889 0.5242 0.9508
H4 0.4731 0.8327 0.3321
H5 0.4751 0.3474 0.8186
H6 0.4749 0.8307 0.8179

Computed properties:
Energy: -35.35 eV per cell
Crystal system: triclinic

---

Here is an optimized crystal structure of SnSb2TeW from Alexandria. Energies are from GGA-PBE.

Cell: 5.5282 5.5282 5.5717 Å, 90.00 90.00 90.00°
Fractional positions:
Sn1 0.0000 0.0000 0.0000
Sb1 0.0000 0.5000 0.0000
Sb2 0.5000 0.0000 0.0000
Te1 0.0000 0.0000 0.5000
W1 0.5000 0.5000 0.5000

Computed properties:
Energy: -19.60 eV per cell
Energy relative to the elements, uncorrected: 8.744 eV per formula unit
Crystal system: tetragonal
ΔE to the lowest computed polymorph: 1091 meV per atom